This record from Alexandria describes crystalline TcAsO at its relaxed geometry. The functional is PBE.

```
data_TcAsO
_chemical_formula_sum 'Tc4 As4 O4'
_cell_length_a 5.677
_cell_length_b 5.594
_cell_length_c 5.699
_cell_angle_alpha 90.00
_cell_angle_beta 112.00
_cell_angle_gamma 90.00
_symmetry_space_group_name_H-M 'P 1 21/c 1'
_symmetry_Int_Tables_number 14
loop_
_symmetry_equiv_pos_as_xyz
'x,y,z'
'-x,-y,-z'
'-x,y+1/2,-z+1/2'
'x,-y+1/2,z+1/2'
loop_
_atom_site_label
_atom_site_type_symbol
_atom_site_fract_x
_atom_site_fract_y
_atom_site_fract_z
Tc1 Tc 0.190 0.012 0.191
As1 As 0.337 0.613 0.153
O1 O 0.170 0.115 0.820
```

Values from the calculation:
DOS(E_F): 2.1 states/eV per cell
Total moment: 0.00 μB/cell
ΔE_f (raw): -1.6 eV per formula unit

This record from Alexandria describes crystalline TlTc2AsO8 at its relaxed geometry. The functional is PBE.

```
data_TlTc2AsO8
_chemical_formula_sum 'Tl2 Tc4 As2 O16'
_cell_length_a 8.850
_cell_length_b 6.005
_cell_length_c 8.357
_cell_angle_alpha 90.00
_cell_angle_beta 95.82
_cell_angle_gamma 90.00
_symmetry_space_group_name_H-M 'C 1 2/m 1'
_symmetry_Int_Tables_number 12
loop_
_symmetry_equiv_pos_as_xyz
'x,y,z'
'-x,-y,-z'
'-x,y,-z'
'x,-y,z'
'x+1/2,y+1/2,z'
'-x+1/2,-y+1/2,-z'
'-x+1/2,y+1/2,-z'
'x+1/2,-y+1/2,z'
loop_
_atom_site_label
_atom_site_type_symbol
_atom_site_fract_x
_atom_site_fract_y
_atom_site_fract_z
Tl1 Tl 0.000 0.000 0.000
Tc1 Tc 0.121 0.500 0.281
As1 As 0.000 0.000 0.500
O1 O 0.011 0.254 0.307
O2 O 0.193 0.500 0.095
O3 O 0.224 0.000 0.558
```

Values from the calculation:
DOS(E_F): 11.1 states/eV per cell
Total moment: 0.00 μB/cell
ΔE_f (raw): -13.8 eV per formula unit

This record from Alexandria describes crystalline UTcAsO at its relaxed geometry. The functional is PBE.

```
data_UTcAsO
_chemical_formula_sum 'U2 Tc2 As2 O2'
_cell_length_a 4.047
_cell_length_b 4.047
_cell_length_c 7.944
_cell_angle_alpha 90.00
_cell_angle_beta 90.00
_cell_angle_gamma 90.00
_symmetry_space_group_name_H-M 'P 4/n m m'
_symmetry_Int_Tables_number 129
loop_
_symmetry_equiv_pos_as_xyz
'x,y,z'
'-x,-y,-z'
'-y+1/2,x,z'
'y+1/2,-x,-z'
'-x+1/2,-y+1/2,z'
'x+1/2,y+1/2,-z'
'y,-x+1/2,z'
'-y,x+1/2,-z'
'x+1/2,-y,-z'
'-x+1/2,y,z'
'-y,-x,-z'
'y,x,z'
'-x,y+1/2,-z'
'x,-y+1/2,z'
'y+1/2,x+1/2,-z'
'-y+1/2,-x+1/2,z'
loop_
_atom_site_label
_atom_site_type_symbol
_atom_site_fract_x
_atom_site_fract_y
_atom_site_fract_z
U1 U 0.250 0.250 0.149
Tc1 Tc 0.250 0.750 0.500
As1 As 0.250 0.250 0.680
O1 O 0.250 0.750 0.000
```

Values from the calculation:
DOS(E_F): 13.1 states/eV per cell
Total moment: 4.76 μB/cell
ΔE_f (raw): -5.8 eV per formula unit

This record from Alexandria describes crystalline Te3As2O11 at its relaxed geometry. The functional is PBE.

```
data_Te3As2O11
_chemical_formula_sum 'Te6 As4 O22'
_cell_length_a 6.685
_cell_length_b 7.987
_cell_length_c 10.705
_cell_angle_alpha 69.80
_cell_angle_beta 79.81
_cell_angle_gamma 79.38
_symmetry_space_group_name_H-M 'P -1'
_symmetry_Int_Tables_number 2
loop_
_symmetry_equiv_pos_as_xyz
'x,y,z'
'-x,-y,-z'
loop_
_atom_site_label
_atom_site_type_symbol
_atom_site_fract_x
_atom_site_fract_y
_atom_site_fract_z
Te1 Te 0.192 0.244 0.022
Te2 Te 0.258 0.114 0.338
Te3 Te 0.302 0.527 0.303
As1 As 0.184 0.598 0.612
As2 As 0.312 0.885 0.897
O1 O 0.017 0.440 0.653
O2 O 0.064 0.808 0.613
O3 O 0.140 0.732 0.946
O4 O 0.186 0.092 0.906
O5 O 0.196 0.038 0.181
O6 O 0.245 0.344 0.190
O7 O 0.305 0.638 0.447
O8 O 0.321 0.289 0.429
O9 O 0.362 0.507 0.723
O10 O 0.423 0.923 0.734
O11 O 0.486 0.796 0.014
```

Values from the calculation:
DOS(E_F): 0.0 states/eV per cell
Total moment: 0.00 μB/cell
ΔE_f (raw): -17.3 eV per formula unit

This record from Alexandria describes crystalline TeAsO4 at its relaxed geometry. The functional is PBE.

```
data_TeAsO4
_chemical_formula_sum 'Te4 As4 O16'
_cell_length_a 7.231
_cell_length_b 13.123
_cell_length_c 4.578
_cell_angle_alpha 90.00
_cell_angle_beta 125.07
_cell_angle_gamma 90.00
_symmetry_space_group_name_H-M 'C 1 2/c 1'
_symmetry_Int_Tables_number 15
loop_
_symmetry_equiv_pos_as_xyz
'x,y,z'
'-x,-y,-z'
'-x,y,-z+1/2'
'x,-y,z+1/2'
'x+1/2,y+1/2,z'
'-x+1/2,-y+1/2,-z'
'-x+1/2,y+1/2,-z+1/2'
'x+1/2,-y+1/2,z+1/2'
loop_
_atom_site_label
_atom_site_type_symbol
_atom_site_fract_x
_atom_site_fract_y
_atom_site_fract_z
Te1 Te 0.000 0.154 0.250
As1 As 0.000 0.356 0.750
O1 O 0.128 0.275 0.135
O2 O 0.216 0.421 0.793
```

Values from the calculation:
DOS(E_F): 4.4 states/eV per cell
Total moment: 0.00 μB/cell
Polymorph energy (0 for the lowest one): 0.0 meV/atom
ΔE_f (raw): -5.0 eV per formula unit

This record from Alexandria describes crystalline TeAs2O8 at its relaxed geometry. The functional is PBE.

```
data_TeAs2O8
_chemical_formula_sum 'Te2 As4 O16'
_cell_length_a 9.947
_cell_length_b 8.347
_cell_length_c 4.851
_cell_angle_alpha 90.00
_cell_angle_beta 97.72
_cell_angle_gamma 90.00
_symmetry_space_group_name_H-M 'C 1 2/m 1'
_symmetry_Int_Tables_number 12
loop_
_symmetry_equiv_pos_as_xyz
'x,y,z'
'-x,-y,-z'
'-x,y,-z'
'x,-y,z'
'x+1/2,y+1/2,z'
'-x+1/2,-y+1/2,-z'
'-x+1/2,y+1/2,-z'
'x+1/2,-y+1/2,z'
loop_
_atom_site_label
_atom_site_type_symbol
_atom_site_fract_x
_atom_site_fract_y
_atom_site_fract_z
Te1 Te 0.000 0.000 0.000
As1 As 0.204 0.000 0.651
O1 O 0.101 0.152 0.793
O2 O 0.131 0.500 0.268
O3 O 0.162 0.000 0.287
```

Values from the calculation:
Total moment: 0.29 μB/cell
ΔE_f (raw): -9.0 eV per formula unit

This record from Alexandria describes crystalline Te2AsO at its relaxed geometry. The functional is PBE.

```
data_Te2AsO
_chemical_formula_sum 'Te6 As3 O3'
_cell_length_a 3.1799
_cell_length_b 3.1799
_cell_length_c 28.1305
_cell_angle_alpha 90.00
_cell_angle_beta 90.00
_cell_angle_gamma 120.00
_symmetry_space_group_name_H-M 'R -3 m'
_symmetry_Int_Tables_number 166
_symmetry_space_group_name_Hall '-R 3 2"'
loop_
_atom_site_label
_atom_site_type_symbol
_atom_site_fract_x
_atom_site_fract_y
_atom_site_fract_z
Te1 Te 0.0000 0.0000 0.1022
As1 As 0.0000 0.0000 0.0000
O1 O 0.0000 0.0000 0.5000
```

Values from the calculation:
DOS(E_F): 7.0 states/eV per cell
Total moment: 0.00 μB/cell
Polymorph energy (0 for the lowest one): 263.7 meV/atom
ΔE_f (raw): 1.1 eV per formula unit

This record from Alexandria describes crystalline TeAs2O at its relaxed geometry. The functional is PBE.

```
data_TeAs2O
_chemical_formula_sum 'Te4 As8 O4'
_cell_length_a 6.605
_cell_length_b 6.605
_cell_length_c 6.605
_cell_angle_alpha 90.00
_cell_angle_beta 90.00
_cell_angle_gamma 90.00
_symmetry_space_group_name_H-M 'F m -3 m'
_symmetry_Int_Tables_number 225
_symmetry_space_group_name_Hall '-F 4 2 3'
loop_
_atom_site_label
_atom_site_type_symbol
_atom_site_fract_x
_atom_site_fract_y
_atom_site_fract_z
Te1 Te 0.000 0.000 0.000
As1 As 0.250 0.250 0.250
O1 O 0.000 0.000 0.500
```

Values from the calculation:
DOS(E_F): 10.7 states/eV per cell
Total moment: 0.00 μB/cell
Polymorph energy (0 for the lowest one): 496.6 meV/atom
ΔE_f (raw): 2.0 eV per formula unit

This record from Alexandria describes crystalline TeAsO5 at its relaxed geometry. The functional is PBE.

```
data_TeAsO5
_chemical_formula_sum 'Te4 As4 O20'
_cell_length_a 7.122
_cell_length_b 8.797
_cell_length_c 7.522
_cell_angle_alpha 90.00
_cell_angle_beta 115.63
_cell_angle_gamma 90.00
_symmetry_space_group_name_H-M 'C 1 2/c 1'
_symmetry_Int_Tables_number 15
loop_
_symmetry_equiv_pos_as_xyz
'x,y,z'
'-x,-y,-z'
'-x,y,-z+1/2'
'x,-y,z+1/2'
'x+1/2,y+1/2,z'
'-x+1/2,-y+1/2,-z'
'-x+1/2,y+1/2,-z+1/2'
'x+1/2,-y+1/2,z+1/2'
loop_
_atom_site_label
_atom_site_type_symbol
_atom_site_fract_x
_atom_site_fract_y
_atom_site_fract_z
Te1 Te 0.000 0.000 0.000
As1 As 0.000 0.324 0.250
O1 O 0.000 0.071 0.750
O2 O 0.104 0.215 0.122
O3 O 0.190 0.438 0.421
```

Values from the calculation:
DOS(E_F): 0.3 states/eV per cell
Total moment: 0.00 μB/cell
ΔE_f (raw): -6.7 eV per formula unit

This record from Alexandria describes crystalline Te3AsO at its relaxed geometry. The functional is PBE.

```
data_Te3AsO
_chemical_formula_sum 'Te3 As1 O1'
_cell_length_a 4.833
_cell_length_b 4.833
_cell_length_c 4.833
_cell_angle_alpha 90.00
_cell_angle_beta 90.00
_cell_angle_gamma 90.00
_symmetry_space_group_name_H-M 'P m -3 m'
_symmetry_Int_Tables_number 221
_symmetry_space_group_name_Hall '-P 4 2 3'
loop_
_atom_site_label
_atom_site_type_symbol
_atom_site_fract_x
_atom_site_fract_y
_atom_site_fract_z
Te1 Te 0.000 0.000 0.500
As1 As 0.500 0.500 0.500
O1 O 0.000 0.000 0.000
```

Values from the calculation:
DOS(E_F): 2.8 states/eV per cell
Total moment: 0.00 μB/cell
Polymorph energy (0 for the lowest one): 0.0 meV/atom
ΔE_f (raw): 1.8 eV per formula unit

This record from Alexandria describes crystalline Te2AsO at its relaxed geometry. The functional is PBE.

```
data_Te2AsO
_chemical_formula_sum 'Te8 As4 O4'
_cell_length_a 6.784
_cell_length_b 6.784
_cell_length_c 6.784
_cell_angle_alpha 90.00
_cell_angle_beta 90.00
_cell_angle_gamma 90.00
_symmetry_space_group_name_H-M 'F m -3 m'
_symmetry_Int_Tables_number 225
_symmetry_space_group_name_Hall '-F 4 2 3'
loop_
_atom_site_label
_atom_site_type_symbol
_atom_site_fract_x
_atom_site_fract_y
_atom_site_fract_z
Te1 Te 0.250 0.250 0.250
As1 As 0.000 0.000 0.000
O1 O 0.000 0.000 0.500
```

Values from the calculation:
DOS(E_F): 12.6 states/eV per cell
Total moment: 0.00 μB/cell
Polymorph energy (0 for the lowest one): 414.6 meV/atom
ΔE_f (raw): 1.7 eV per formula unit

This record from Alexandria describes crystalline Te2AsO at its relaxed geometry. The functional is PBE.

```
data_Te2AsO
_chemical_formula_sum 'Te6 As3 O3'
_cell_length_a 3.9211
_cell_length_b 3.9211
_cell_length_c 23.4098
_cell_angle_alpha 90.00
_cell_angle_beta 90.00
_cell_angle_gamma 120.00
_symmetry_space_group_name_H-M 'R -3 m'
_symmetry_Int_Tables_number 166
_symmetry_space_group_name_Hall '-R 3 2"'
loop_
_atom_site_label
_atom_site_type_symbol
_atom_site_fract_x
_atom_site_fract_y
_atom_site_fract_z
Te1 Te 0.0000 0.0000 0.0869
As1 As 0.0000 0.0000 0.5000
O1 O 0.0000 0.0000 0.0000
```

Values from the calculation:
DOS(E_F): 8.4 states/eV per cell
Total moment: 0.00 μB/cell
Polymorph energy (0 for the lowest one): 0.0 meV/atom
ΔE_f (raw): 0.0 eV per formula unit